First-principles (PBE-GGA) data for a relaxed KLaW2 crystal, as listed in the Alexandria database.

Output
DOS(E_F) = 3.69 states/eV/f.u.
crystal system = orthorhombic
size of the total moment = 0.0 μB per formula unit
energy = -6.7708 eV per atom
relative energy among the computed polymorphs = 0.507 eV per atom

Cell: 2.8221 5.3921 7.3632 Å, 90.00 90.00 90.00°
Sites, in units of the cell vectors:
K  0.0000  0.0000  0.0000
La  0.0000  0.0000  0.5000
W  0.5000  0.5000  0.3348
W  0.5000  0.5000  0.6652